Below is an optimized crystal structure of La4Ag2Os, with properties calculated at the PBE-GGA level.

a b c (Å): 5.570 5.570 8.603
angles (deg): 108.89 108.89 90.00
Fractional positions:
Os  0.000  0.000  0.000
Ag  0.616  0.616  0.233
Ag  0.384  0.384  0.767
La  0.816  0.816  0.632
La  0.184  0.184  0.368
La  0.000  0.500  0.000
La  0.500  0.000  0.000

Computed properties:
Energy of formation from the pure elements   -0.0584 eV/atom
Space-group type   No. 139
Total moment   0.00 μB per cell